Na2CaAuO4: optimized geometry, PBE-GGA.

## Properties
Final energy, eV for the cell shown: -35.33
Volume, Å³/cell: 108

Cell: 5.194 5.194 5.194 Å, 109.09 109.09 110.23°
Fractional coordinates of all 8 atoms:
Na (0.000, 0.500, 0.500)
Na (0.500, 0.000, 0.500)
Ca (0.000, 0.000, 0.000)
Au (0.500, 0.500, 0.000)
O (0.087, 0.485, 0.000)
O (0.485, 0.087, 0.000)
O (0.515, 0.515, 0.602)
O (0.913, 0.913, 0.398)